(1)
The following is a PBE calculation of an optimized crystal structure of Tl3PbS, from Alexandria.

POSCAR file:
```
Tl3PbS
1.0
5.9153 0.0000 0.0000
0.0000 5.9153 0.0000
0.0000 0.0000 5.9153
Pb Tl S
1 3 1
direct
0.0000 0.0000 0.0000 Pb
0.0000 0.5000 0.0000 Tl
0.0000 0.0000 0.5000 Tl
0.5000 0.0000 0.0000 Tl
0.5000 0.5000 0.5000 S
```

Energy above the most stable polymorph in this dataset ... 5.58 kcal/mol of atoms
E_form (uncorrected) ... 0.48 eV/atom
DOS at the Fermi energy ... 3.450 states/eV per cell
Total magnetization ... 0.00 μB per cell
Raw total energy ... -2.5060 eV/atom


(2)
The following is a PBE calculation of an optimized crystal structure of Nd3TmSn12, from Alexandria.

POSCAR file:
```
Nd3TmSn12
1.0
-3.1111 3.4846 -0.9767
-3.3567 -3.2600 -0.9382
-5.3433 0.2977 18.0820
Nd Tm Sn
3 1 12
direct
0.0000 0.0000 0.2479 Nd
0.0000 0.0000 0.5000 Nd
0.0000 0.0000 0.7521 Nd
0.0000 0.0000 0.0000 Tm
0.5000 0.5000 0.0000 Sn
0.5000 0.5000 0.2465 Sn
0.5000 0.5000 0.5000 Sn
0.5000 0.5000 0.7535 Sn
0.5000 0.0000 0.1202 Sn
0.5000 0.0000 0.3735 Sn
0.5000 0.0000 0.6265 Sn
0.5000 0.0000 0.8798 Sn
0.0000 0.5000 0.1202 Sn
0.0000 0.5000 0.3735 Sn
0.0000 0.5000 0.6265 Sn
0.0000 0.5000 0.8798 Sn
```

Energy of formation from the pure elements ... -0.469 eV per atom
DOS at the Fermi energy ... 8.716 states/eV per cell
Total magnetization ... 0.00 μB per cell
Raw total energy ... -4.6451 eV/atom